(1)
## Nd3Sm2Er5 (PBE)

Data for a relaxed structure of Nd3Sm2Er5.

Geometry as CIF:
```
data_Nd3Sm2Er5
_space_group_name_H-M_alt 'C 1 2/c 1'
_space_group_IT_number 15
_space_group_name_Hall '-C 2yc'
_cell_length_a 10.644
_cell_length_b 16.169
_cell_length_c 9.363
_cell_angle_alpha 90.00
_cell_angle_beta 124.63
_cell_angle_gamma 90.00
loop_
_atom_site_label
_atom_site_type_symbol
_atom_site_fract_x
_atom_site_fract_y
_atom_site_fract_z
_atom_site_occupancy
Nd1 Nd 0.000 0.233 0.250 1
Nd2 Nd 0.147 0.124 0.048 1
Sm1 Sm 0.149 0.381 0.546 1
Er1 Er 0.000 0.025 0.250 1
Er2 Er 0.000 0.273 0.750 1
Er3 Er 0.000 0.472 0.750 1
Er4 Er 0.245 0.385 0.238 1
```

Calculated values
The total energy comes out at -178.8 eV for the cell shown. As for the density of states at the Fermi level: 66.05 states/eV/cell.



(2)
## Y3As2H (PBE)

Data for a relaxed structure of Y3As2H.

Geometry as CIF:
```
data_Y3As2H
_space_group_name_H-M_alt 'C 1 2/c 1'
_space_group_IT_number 15
_space_group_name_Hall '-C 2yc'
_cell_length_a 12.488
_cell_length_b 5.682
_cell_length_c 8.146
_cell_angle_alpha 90.00
_cell_angle_beta 109.01
_cell_angle_gamma 90.00
loop_
_atom_site_label
_atom_site_type_symbol
_atom_site_fract_x
_atom_site_fract_y
_atom_site_fract_z
_atom_site_occupancy
Y1 Y 0.000 0.033 0.250 1
Y2 Y 0.167 0.499 0.584 1
As1 As 0.168 0.001 0.084 1
H1 H 0.000 0.458 0.250 1
```

Calculated values
The total energy comes out at -153.6 eV for the cell shown. As for the density of states at the Fermi level: 10.57 states/eV/cell.



(3)
## CdNi3P (PBE)

Data for a relaxed structure of CdNi3P.

Geometry as CIF:
```
data_CdNi3P
_space_group_name_H-M_alt 'P m -3 m'
_space_group_IT_number 221
_space_group_name_Hall '-P 4 2 3'
_cell_length_a 4.190
_cell_length_b 4.190
_cell_length_c 4.190
_cell_angle_alpha 90.00
_cell_angle_beta 90.00
_cell_angle_gamma 90.00
loop_
_atom_site_label
_atom_site_type_symbol
_atom_site_fract_x
_atom_site_fract_y
_atom_site_fract_z
_atom_site_occupancy
Cd1 Cd 0.000 0.000 0.000 1
Ni1 Ni 0.000 0.500 0.500 1
P1 P 0.500 0.500 0.500 1
```

Calculated values
The total energy comes out at -24.2 eV for the cell shown. As for the density of states at the Fermi level: 3.42 states/eV/cell.